This record from Alexandria describes K3NpU2O9 after structural relaxation. The functional is PBE-GGA.

a b c (Å): 6.111 6.111 7.485
angles (deg): 90.00 90.00 120.00
Element x y z (fractional)
K: 0.000 0.000 0.000
K: 0.333 0.667 0.666
K: 0.667 0.333 0.334
Np: 0.000 0.000 0.500
U: 0.333 0.667 0.168
U: 0.667 0.333 0.832
O: 0.000 0.500 0.000
O: 0.168 0.336 0.332
O: 0.168 0.832 0.332
O: 0.336 0.168 0.668
O: 0.500 0.000 0.000
O: 0.500 0.500 0.000
O: 0.664 0.832 0.332
O: 0.832 0.168 0.668
O: 0.832 0.664 0.668

## Properties
E in eV per atom: -8.395
Energy relative to the elements, uncorrected in meV/atom: -2833
Symmetry: No. 164
Calculated density in g/cm3: 6.68